A plane-wave DFT calculation with PBE-GGA was carried out for a relaxed TmTlNiRh crystal.

Lattice parameters (Å, degrees): 6.603 6.603 6.603 90.00 90.00 90.00
Space group F-43m (No. 216)
Unique sites:
Tm 0.000 0.000 0.000
Tl 0.000 0.000 0.500
Ni 0.250 0.250 0.250
Rh 0.250 0.250 0.750

Summary:
Calculated total energy in eV for the cell shown: -85.7
Energy relative to the elements in eV/atom: -0.365
Magnetic moment in μB per formula unit: 0.00
Theoretical density in Mg/m³: 12.344

---

A plane-wave DFT calculation with PBE-GGA was carried out for a relaxed AcTb2NdSm crystal.

Lattice parameters (Å, degrees): 6.620 17.472 6.498 90.00 90.00 90.00
Space group Cmcm (No. 63)
Unique sites:
Ac 0.000 0.157 0.250
Tb 0.243 0.500 0.000
Nd 0.000 0.347 0.250
Sm 0.000 0.280 0.750

Summary:
Calculated total energy in eV for the cell shown: -84.3
Energy relative to the elements in eV/atom: 0.357
Magnetic moment in μB per formula unit: 0.00
Theoretical density in Mg/m³: 7.418

---

A plane-wave DFT calculation with PBE-GGA was carried out for a relaxed NaScIr3 crystal.

Lattice parameters (Å, degrees): 4.778 4.778 4.778 90.00 90.00 90.00
Space group Pm-3m (No. 221)
Unique sites:
Na 0.000 0.000 0.000
Sc 0.500 0.500 0.500
Ir 0.000 0.500 0.500

Summary:
Calculated total energy in eV for the cell shown: -28.0
Energy relative to the elements in eV/atom: 1.248
Magnetic moment in μB per formula unit: 0.00
ΔE to the lowest computed polymorph in kJ/mol of atoms: 0.0
Theoretical density in Mg/m³: 9.814

---

A plane-wave DFT calculation with PBE-GGA was carried out for a relaxed Cs2NbPb2Se6 crystal.

Lattice parameters (Å, degrees): 7.303 12.491 8.850 90.00 107.57 90.00
Space group C2/m (No. 12)
Unique sites:
Cs 0.000 0.175 0.000
Nb 0.000 0.000 0.500
Pb 0.000 0.331 0.500
Se 0.216 0.147 0.683
Se 0.229 0.000 0.322

Summary:
Calculated total energy in eV for the cell shown: -97.2
Magnetic moment in μB per formula unit: 0.00
Theoretical density in Mg/m³: 5.380

---

A plane-wave DFT calculation with PBE-GGA was carried out for a relaxed HgIrRu2 crystal.

Lattice parameters (Å, degrees): 2.800 2.800 8.012 90.00 90.00 90.00
Space group P4mm (No. 99)
Unique sites:
Hg 0.000 0.000 0.000
Ir 0.500 0.500 0.279
Ru 0.000 0.000 0.509
Ru 0.500 0.500 0.725

Summary:
Calculated total energy in eV for the cell shown: -26.5
Energy relative to the elements in eV/atom: 0.298
Magnetic moment in μB per formula unit: 0.00
Theoretical density in Mg/m³: 15.726

---

A plane-wave DFT calculation with PBE-GGA was carried out for a relaxed Li2AgOs crystal.

Lattice parameters (Å, degrees): 2.614 4.617 9.469 90.00 90.00 90.00
Space group Imm2 (No. 44)
Unique sites:
Li 0.000 0.000 0.000
Li 0.000 0.500 0.256
Ag 0.000 0.000 0.517
Os 0.000 0.500 0.753

Summary:
Calculated total energy in eV for the cell shown: -33.4
Energy relative to the elements in eV/atom: 0.302
Magnetic moment in μB per formula unit: 0.00
ΔE to the lowest computed polymorph in kJ/mol of atoms: 21.6
Theoretical density in Mg/m³: 9.066

---

A plane-wave DFT calculation with PBE-GGA was carried out for a relaxed MgTcIr2 crystal.

Lattice parameters (Å, degrees): 9.146 2.742 4.816 90.00 98.93 90.00
Space group C2/m (No. 12)
Unique sites:
Mg 0.000 0.000 0.000
Tc 0.000 0.500 0.500
Ir 0.245 0.000 0.743

Summary:
Calculated total energy in eV for the cell shown: -59.9
Energy relative to the elements in eV/atom: -0.064
Magnetic moment in μB per formula unit: 0.00
Theoretical density in Mg/m³: 14.109

---

A plane-wave DFT calculation with PBE-GGA was carried out for a relaxed SrIn4Au2 crystal.

Lattice parameters (Å, degrees): 4.523 17.716 4.527 90.00 90.00 90.00
Space group Cmmm (No. 65)
Unique sites:
Sr 0.000 0.000 0.000
In 0.000 0.179 0.500
In 0.000 0.318 0.000
Au 0.000 0.423 0.500

Summary:
Calculated total energy in eV for the cell shown: -43.5
Energy relative to the elements in eV/atom: -0.364
Magnetic moment in μB per formula unit: 0.00
ΔE to the lowest computed polymorph in kJ/mol of atoms: 5.0
Theoretical density in Mg/m³: 8.613

---

A plane-wave DFT calculation with PBE-GGA was carried out for a relaxed YCoAs2Rh crystal.

Lattice parameters (Å, degrees): 5.242 5.242 4.631 90.00 90.00 90.00
Space group P4/mmm (No. 123)
Unique sites:
Y 0.000 0.000 0.000
Co 0.000 0.000 0.500
As 0.000 0.500 0.000
Rh 0.500 0.500 0.500

Summary:
Calculated total energy in eV for the cell shown: -23.5
Energy relative to the elements in eV/atom: 1.349
Magnetic moment in μB per formula unit: 1.64
Theoretical density in Mg/m³: 5.227

---

A plane-wave DFT calculation with PBE-GGA was carried out for a relaxed AcTbAlAg crystal.

Lattice parameters (Å, degrees): 7.659 7.659 7.659 90.00 90.00 90.00
Space group F-43m (No. 216)
Unique sites:
Ac 0.000 0.000 0.000
Tb 0.000 0.000 0.500
Al 0.250 0.250 0.750
Ag 0.250 0.250 0.250

Summary:
Calculated total energy in eV for the cell shown: -65.1
Energy relative to the elements in eV/atom: -0.233
Magnetic moment in μB per formula unit: 0.00
Theoretical density in Mg/m³: 7.699

---

A plane-wave DFT calculation with PBE-GGA was carried out for a relaxed NdHf5 crystal.

Lattice parameters (Å, degrees): 4.540 13.881 4.551 90.00 90.00 90.00
Space group Cmmm (No. 65)
Unique sites:
Nd 0.000 0.000 0.000
Hf 0.000 0.173 0.500
Hf 0.000 0.326 0.000
Hf 0.000 0.500 0.500

Summary:
Calculated total energy in eV for the cell shown: -106.9
Energy relative to the elements in eV/atom: 0.178
Magnetic moment in μB per formula unit: 0.00
Theoretical density in Mg/m³: 12.007

---

A plane-wave DFT calculation with PBE-GGA was carried out for a relaxed SmHoIn2 crystal.

Lattice parameters (Å, degrees): 3.7221 3.7221 29.2814 90.00 90.00 120.00
Space group R-3m (No. 166, hexagonal axes)
Unique sites:
Sm 0.0000 0.0000 0.0000
Ho 0.0000 0.0000 0.5000
In 0.0000 0.0000 0.2484

Summary:
Calculated total energy in eV for the cell shown: -48.1
Energy relative to the elements in eV/atom: -0.319
Magnetic moment in μB per formula unit: 0.00
ΔE to the lowest computed polymorph in kJ/mol of atoms: 15.1
Theoretical density in Mg/m³: 7.727

---

A plane-wave DFT calculation with PBE-GGA was carried out for a relaxed SbPt5Rh4 crystal.

Lattice parameters (Å, degrees): 4.797 5.606 6.302 76.56 74.95 74.22
Space group P-1 (No. 2)
Unique sites:
Sb 0.000 0.000 0.000
Pt 0.000 0.500 0.000
Pt 0.202 0.800 0.590
Pt 0.405 0.596 0.200
Rh 0.200 0.299 0.601
Rh 0.400 0.099 0.202

Summary:
Calculated total energy in eV for the cell shown: -64.6
Magnetic moment in μB per formula unit: 0.00
Theoretical density in Mg/m³: 16.156

---

A plane-wave DFT calculation with PBE-GGA was carried out for a relaxed AlRu2W crystal.

Lattice parameters (Å, degrees): 6.179 6.179 6.179 90.00 90.00 90.00
Space group F-43m (No. 216)
Unique sites:
Al 0.000 0.000 0.000
Ru 0.000 0.000 0.500
Ru 0.250 0.250 0.750
W 0.250 0.250 0.250

Summary:
Calculated total energy in eV for the cell shown: -138.7
Energy relative to the elements in eV/atom: 0.140
Magnetic moment in μB per formula unit: 1.59
Theoretical density in Mg/m³: 11.625

---

A plane-wave DFT calculation with PBE-GGA was carried out for a relaxed Sc2NbSnAs crystal.

Lattice parameters (Å, degrees): 5.073 5.073 5.272 90.00 90.00 90.00
Space group P4/mmm (No. 123)
Unique sites:
Sc 0.000 0.500 0.000
Nb 0.000 0.000 0.000
Sn 0.000 0.000 0.500
As 0.500 0.500 0.500

Summary:
Calculated total energy in eV for the cell shown: -28.6
Energy relative to the elements in eV/atom: 0.548
Magnetic moment in μB per formula unit: 0.00
Theoretical density in Mg/m³: 4.608

---

A plane-wave DFT calculation with PBE-GGA was carried out for a relaxed Mg2MoRhN crystal.

Lattice parameters (Å, degrees): 4.907 4.907 4.704 90.00 90.00 90.00
Space group P4/mmm (No. 123)
Unique sites:
Mg 0.000 0.500 0.000
Mo 0.000 0.000 0.500
Rh 0.000 0.000 0.000
N 0.500 0.500 0.500

Summary:
Calculated total energy in eV for the cell shown: -22.5
Magnetic moment in μB per formula unit: 0.86
Theoretical density in Mg/m³: 3.834

---

A plane-wave DFT calculation with PBE-GGA was carried out for a relaxed Pm2TmThBi4 crystal.

Lattice parameters (Å, degrees): 7.862 4.558 7.892 90.00 109.49 90.00
Space group P2/m (No. 10)
Unique sites:
Pm 0.000 0.000 0.000
Pm 0.500 0.500 0.000
Tm 0.000 0.500 0.500
Th 0.500 0.000 0.500
Bi 0.243 0.000 0.743
Bi 0.245 0.500 0.252

Summary:
Calculated total energy in eV for the cell shown: -43.4
Energy relative to the elements in eV/atom: -0.816
Magnetic moment in μB per formula unit: 0.00
Theoretical density in Mg/m³: 9.510

---

A plane-wave DFT calculation with PBE-GGA was carried out for a relaxed Nd2B3N2 crystal.

Lattice parameters (Å, degrees): 3.380 3.985 6.802 90.00 104.53 90.00
Space group P2/m (No. 10)
Unique sites:
Nd 0.131 0.000 0.270
B 0.283 0.500 0.563
B 0.500 0.500 0.000
N 0.398 0.500 0.791

Summary:
Calculated total energy in eV for the cell shown: -51.7
Magnetic moment in μB per formula unit: 0.00
Theoretical density in Mg/m³: 6.533

---

A plane-wave DFT calculation with PBE-GGA was carried out for a relaxed PmSm6Er3Th2 crystal.

Lattice parameters (Å, degrees): 6.229 10.775 11.919 90.00 100.03 90.00
Space group C2/m (No. 12)
Unique sites:
Pm 0.000 0.000 0.000
Sm 0.246 0.500 0.250
Sm 0.247 0.331 0.750
Er 0.000 0.167 0.500
Er 0.000 0.500 0.500
Th 0.000 0.333 0.000

Summary:
Calculated total energy in eV for the cell shown: -122.2
Energy relative to the elements in eV/atom: 0.040
Magnetic moment in μB per formula unit: 0.00
Theoretical density in Mg/m³: 8.487

---

A plane-wave DFT calculation with PBE-GGA was carried out for a relaxed Tb2Pm5Pr5 crystal.

Lattice parameters (Å, degrees): 11.993 5.848 12.555 90.00 108.59 90.00
Space group C2/m (No. 12)
Unique sites:
Tb 0.085 0.000 0.208
Pm 0.000 0.500 0.000
Pm 0.073 0.500 0.745
Pm 0.189 0.500 0.531
Pr 0.000 0.000 0.500
Pr 0.187 0.000 0.968
Pr 0.240 0.500 0.275

Summary:
Calculated total energy in eV for the cell shown: -111.8
Energy relative to the elements in eV/atom: 0.083
Magnetic moment in μB per formula unit: 0.00
ΔE to the lowest computed polymorph in kJ/mol of atoms: 6.6
Theoretical density in Mg/m³: 6.954

---

A plane-wave DFT calculation with PBE-GGA was carried out for a relaxed CoIrRh crystal.

Lattice parameters (Å, degrees): 2.690 3.710 7.966 90.00 90.00 90.00
Space group Imm2 (No. 44)
Unique sites:
Co 0.000 0.000 0.000
Ir 0.000 0.000 0.658
Rh 0.000 0.000 0.331

Summary:
Calculated total energy in eV for the cell shown: -46.4
Energy relative to the elements in eV/atom: 0.037
Magnetic moment in μB per formula unit: 1.20
ΔE to the lowest computed polymorph in kJ/mol of atoms: 0.2
Theoretical density in Mg/m³: 14.790

---

A plane-wave DFT calculation with PBE-GGA was carried out for a relaxed KBiMo2Pd crystal.

Lattice parameters (Å, degrees): 5.101 5.101 4.894 90.00 90.00 90.00
Space group P4/mmm (No. 123)
Unique sites:
K 0.000 0.000 0.000
Bi 0.500 0.500 0.500
Mo 0.000 0.500 0.000
Pd 0.000 0.000 0.500

Summary:
Calculated total energy in eV for the cell shown: -19.7
Energy relative to the elements in eV/atom: 2.435
Magnetic moment in μB per formula unit: 6.84
Theoretical density in Mg/m³: 7.125

---

A plane-wave DFT calculation with PBE-GGA was carried out for a relaxed SiPb3 crystal.

Lattice parameters (Å, degrees): 4.816 4.816 9.669 90.00 90.00 90.00
Space group I4/mmm (No. 139)
Unique sites:
Si 0.000 0.000 0.000
Pb 0.000 0.000 0.500
Pb 0.000 0.500 0.250

Summary:
Calculated total energy in eV for the cell shown: -30.4
Magnetic moment in μB per formula unit: 0.00
ΔE to the lowest computed polymorph in kJ/mol of atoms: 6.1
Theoretical density in Mg/m³: 9.620

---

A plane-wave DFT calculation with PBE-GGA was carried out for a relaxed PaNb2Rh crystal.

Lattice parameters (Å, degrees): 3.421 3.421 6.372 90.00 90.00 90.00
Space group P4/mmm (No. 123)
Unique sites:
Pa 0.000 0.000 0.000
Nb 0.500 0.500 0.260
Rh 0.000 0.000 0.500

Summary:
Calculated total energy in eV for the cell shown: -37.1
Energy relative to the elements in eV/atom: -0.020
Magnetic moment in μB per formula unit: 0.00
ΔE to the lowest computed polymorph in kJ/mol of atoms: 0.0
Theoretical density in Mg/m³: 11.576

---

A plane-wave DFT calculation with PBE-GGA was carried out for a relaxed W3Br crystal.

Lattice parameters (Å, degrees): 4.708 4.708 2.996 90.00 90.00 90.00
Space group P4/mmm (No. 123)
Unique sites:
W 0.000 0.000 0.000
W 0.000 0.500 0.500
Br 0.500 0.500 0.000

Summary:
Calculated total energy in eV for the cell shown: -36.2
Magnetic moment in μB per formula unit: 0.00
ΔE to the lowest computed polymorph in kJ/mol of atoms: 34.2
Theoretical density in Mg/m³: 15.783

---

A plane-wave DFT calculation with PBE-GGA was carried out for a relaxed PuUFe4 crystal.

Lattice parameters (Å, degrees): 7.042 7.042 7.042 90.00 90.00 90.00
Space group F-43m (No. 216)
Unique sites:
Pu 0.000 0.000 0.000
U 0.250 0.250 0.250
Fe 0.125 0.125 0.625

Summary:
Calculated total energy in eV for the cell shown: -240.0
Energy relative to the elements in eV/atom: -0.086
Magnetic moment in μB per formula unit: 0.44
Theoretical density in Mg/m³: 13.418

---

A plane-wave DFT calculation with PBE-GGA was carried out for a relaxed NaAcSmCd crystal.

Lattice parameters (Å, degrees): 8.054 8.054 8.054 90.00 90.00 90.00
Space group F-43m (No. 216)
Unique sites:
Na 0.000 0.000 0.000
Ac 0.250 0.250 0.250
Sm 0.250 0.250 0.750
Cd 0.000 0.000 0.500

Summary:
Calculated total energy in eV for the cell shown: -44.0
Energy relative to the elements in eV/atom: 0.014
Magnetic moment in μB per formula unit: 0.02
Theoretical density in Mg/m³: 6.519